No. 1
# Cs2NbCuTe4

A relaxed structure of Cs2NbCuTe4 (PBE, the Alexandria database).

Lattice parameters (Å, degrees): 15.8348 14.0396 8.5086 85.49 62.12 32.39
Last column: nearest neighbours and their distance in Å.
Element x y z (fractional)
Cs (0.0559, 0.0559, 0.6941)  8 Te 3.94-4.20
Cs (0.3059, 0.3059, 0.9441)  8 Te 3.94-4.20
Cs (0.6941, 0.6941, 0.0559)  8 Te 3.94-4.20
Cs (0.9441, 0.9441, 0.3059)  8 Te 3.94-4.20
Nb (0.3750, 0.3750, 0.3750)  4 Te 2.64
Nb (0.6250, 0.6250, 0.6250)  4 Te 2.64
Cu (0.1250, 0.1250, 0.1250)  4 Te 2.64
Cu (0.8750, 0.8750, 0.8750)  4 Te 2.64
Te (0.0265, 0.3344, 0.4148)  1 Cu 2.64, 1 Nb 2.64
Te (0.2757, 0.5852, 0.6656)  1 Cu 2.64, 1 Nb 2.64
Te (0.3344, 0.0265, 0.7243)  1 Cu 2.64, 1 Nb 2.64
Te (0.4148, 0.7243, 0.0265)  1 Cu 2.64, 1 Nb 2.64
Te (0.5852, 0.2757, 0.9735)  1 Cu 2.64, 1 Nb 2.64
Te (0.6656, 0.9735, 0.2757)  1 Cu 2.64, 1 Nb 2.64
Te (0.7243, 0.4148, 0.3344)  1 Cu 2.64, 1 Nb 2.64
Te (0.9735, 0.6656, 0.5852)  1 Cu 2.64, 1 Nb 2.64

Computed properties:
Raw formation energy ... -0.695 eV per atom
Total moment ... 0.00 μB/f.u.
Symmetry ... Fddd (70)



No. 2
# Rb2Cd7Pd2

A relaxed structure of Rb2Cd7Pd2 (PBE, the Alexandria database).

Lattice parameters (Å, degrees): 8.8365 8.8365 4.8429 105.66 105.66 67.75
Last column: nearest neighbours and their distance in Å.
Element x y z (fractional)
Rb (0.1904, 0.8096, 0.0000)  2 Pd 3.35, 1 Rb 3.75
Rb (0.8096, 0.1904, 0.0000)  2 Pd 3.35, 1 Rb 3.75
Cd (0.0699, 0.4087, 0.7397)  1 Pd 2.78, 4 Cd 2.91-3.02
Cd (0.2877, 0.2877, 0.2892)  2 Pd 2.87-2.88, 5 Cd 2.95-3.02
Cd (0.4087, 0.0699, 0.7397)  1 Pd 2.78, 4 Cd 2.91-3.02
Cd (0.5000, 0.5000, 0.5000)  4 Pd 2.79-2.80, 2 Cd 2.95
Cd (0.5913, 0.9301, 0.2603)  1 Pd 2.78, 4 Cd 2.91-3.02
Cd (0.7123, 0.7123, 0.7108)  2 Pd 2.87-2.88, 5 Cd 2.95-3.02
Cd (0.9301, 0.5913, 0.2603)  1 Pd 2.78, 4 Cd 2.91-3.02
Pd (0.3995, 0.3995, 0.9008)  6 Cd 2.78-2.88, 1 Pd 2.79
Pd (0.6005, 0.6005, 0.0992)  6 Cd 2.78-2.88, 1 Pd 2.79

Computed properties:
Formation energy ... -0.095 eV/atom
Total moment ... 0.00 μB/f.u.
Symmetry ... C2/m (12)



No. 3
# Pr2YTc2N6

A relaxed structure of Pr2YTc2N6 (PBE, the Alexandria database).

Lattice parameters (Å, degrees): 6.8641 6.8641 6.8641 49.70 49.70 49.70
Last column: nearest neighbours and their distance in Å.
Element x y z (fractional)
Pr (0.2088, 0.2088, 0.2088)  3 N 2.58
Pr (0.7912, 0.7912, 0.7912)  3 N 2.58
Y (0.0000, 0.0000, 0.0000)  6 N 2.38
Tc (0.4001, 0.4001, 0.4001)  3 N 1.80
Tc (0.5999, 0.5999, 0.5999)  3 N 1.80
N (0.2266, 0.7410, 0.7410)  1 Tc 1.80
N (0.2590, 0.2590, 0.7734)  1 Tc 1.80
N (0.2590, 0.7734, 0.2590)  1 Tc 1.80
N (0.7410, 0.2266, 0.7410)  1 Tc 1.80
N (0.7410, 0.7410, 0.2266)  1 Tc 1.80
N (0.7734, 0.2590, 0.2590)  1 Tc 1.80

Computed properties:
Raw formation energy ... -0.635 eV per atom
Total moment ... 0.00 μB/f.u.
Symmetry ... R-3m (166)



No. 4
# SmSc2Al9

A relaxed structure of SmSc2Al9 (PBE, the Alexandria database).

Lattice parameters (Å, degrees): 4.1823 4.1823 12.5077 90.00 90.00 90.00
Last column: nearest neighbours and their distance in Å.
Element x y z (fractional)
Sm (0.0000, 0.0000, 0.0000)  12 Al 2.96-3.04
Sc (0.0000, 0.0000, 0.3382)  12 Al 2.91-2.96
Sc (0.0000, 0.0000, 0.6618)  12 Al 2.91-2.96
Al (0.0000, 0.5000, 0.1767)  8 Al 2.89-3.04, 2 Sc 2.91, 2 Sm 3.04
Al (0.0000, 0.5000, 0.5000)  4 Sc 2.91, 8 Al 2.92-2.96
Al (0.0000, 0.5000, 0.8233)  8 Al 2.89-3.04, 2 Sc 2.91, 2 Sm 3.04
Al (0.5000, 0.0000, 0.1767)  8 Al 2.89-3.04, 2 Sc 2.91, 2 Sm 3.04
Al (0.5000, 0.0000, 0.5000)  4 Sc 2.91, 8 Al 2.92-2.96
Al (0.5000, 0.0000, 0.8233)  8 Al 2.89-3.04, 2 Sc 2.91, 2 Sm 3.04
Al (0.5000, 0.5000, 0.0000)  4 Sm 2.96, 8 Al 3.04
Al (0.5000, 0.5000, 0.3367)  8 Al 2.89-2.92, 4 Sc 2.96
Al (0.5000, 0.5000, 0.6633)  8 Al 2.89-2.92, 4 Sc 2.96

Computed properties:
Formation energy ... -0.426 eV/atom
E above lowest polymorph ... 0 meV per atom
Total moment ... 0.00 μB/f.u.
Symmetry ... P4/mmm (123)



No. 5
# La2PmPr5Sm

A relaxed structure of La2PmPr5Sm (PBE, the Alexandria database).

Lattice parameters (Å, degrees): 10.3787 10.3787 10.3787 129.52 129.52 74.17
Last column: nearest neighbours and their distance in Å.
Element x y z (fractional)
La (0.1199, 0.6199, 0.7398)  1 La 3.00, 2 Pr 3.14
La (0.3801, 0.1199, 0.5000)  1 La 3.00, 2 Pr 3.14
La (0.6199, 0.8801, 0.5000)  1 La 3.00, 2 Pr 3.14
La (0.8801, 0.3801, 0.2602)  1 La 3.00, 2 Pr 3.14
Pm (0.2500, 0.2500, 0.0000)  8 Pr 3.63
Pm (0.7500, 0.7500, 0.0000)  8 Pr 3.63
Pr (0.0000, 0.0000, 0.0000)  4 La 3.53, 8 Pr 3.94
Pr (0.0725, 0.1423, 0.5000)  1 La 3.14, 1 Sm 3.23
Pr (0.1423, 0.6423, 0.0698)  1 La 3.14, 1 Sm 3.23
Pr (0.3577, 0.4275, 0.5000)  1 La 3.14, 1 Sm 3.23
Pr (0.4275, 0.9275, 0.0698)  1 La 3.14, 1 Sm 3.23
Pr (0.5000, 0.5000, 0.0000)  4 La 3.53, 8 Pr 3.94
Pr (0.5725, 0.0725, 0.9302)  1 La 3.14, 1 Sm 3.23
Pr (0.6423, 0.5725, 0.5000)  1 La 3.14, 1 Sm 3.23
Pr (0.8577, 0.3577, 0.9302)  1 La 3.14, 1 Sm 3.23
Pr (0.9275, 0.8577, 0.5000)  1 La 3.14, 1 Sm 3.23
Sm (0.2500, 0.7500, 0.5000)  4 Pr 3.23
Sm (0.7500, 0.2500, 0.5000)  4 Pr 3.23

Computed properties:
Formation energy ... 0.235 eV/atom
Total moment ... 0.00 μB/f.u.
Symmetry ... I4/mcm (140)



No. 6
# Tm2Co17

A relaxed structure of Tm2Co17 (PBE, the Alexandria database).

Lattice parameters (Å, degrees): 6.2391 6.2391 6.2391 82.95 82.95 82.95
Last column: nearest neighbours and their distance in Å.
Element x y z (fractional)
Tm (0.1560, 0.1560, 0.1560)  19 Co 2.94-3.20
Tm (0.8440, 0.8440, 0.8440)  19 Co 2.94-3.20
Co (0.0000, 0.5000, 0.5000)  10 Co 2.36-2.53
Co (0.1531, 0.1531, 0.6511)  9 Co 2.39-2.58
Co (0.1531, 0.6511, 0.1531)  9 Co 2.39-2.58
Co (0.2098, 0.5000, 0.7902)  8 Co 2.36-2.53
Co (0.2098, 0.7902, 0.5000)  8 Co 2.36-2.53
Co (0.3489, 0.8469, 0.8469)  9 Co 2.39-2.58
Co (0.4031, 0.4031, 0.4031)  7 Co 2.34-2.58
Co (0.5000, 0.0000, 0.5000)  10 Co 2.36-2.53
Co (0.5000, 0.2098, 0.7902)  8 Co 2.36-2.53
Co (0.5000, 0.5000, 0.0000)  10 Co 2.36-2.53
Co (0.5000, 0.7902, 0.2098)  8 Co 2.36-2.53
Co (0.5969, 0.5969, 0.5969)  7 Co 2.34-2.58
Co (0.6511, 0.1531, 0.1531)  9 Co 2.39-2.58
Co (0.7902, 0.2098, 0.5000)  8 Co 2.36-2.53
Co (0.7902, 0.5000, 0.2098)  8 Co 2.36-2.53
Co (0.8469, 0.3489, 0.8469)  9 Co 2.39-2.58
Co (0.8469, 0.8469, 0.3489)  9 Co 2.39-2.58

Computed properties:
Formation energy ... -0.113 eV/atom
Total moment ... 25.10 μB/f.u.
Symmetry ... R-3m (166)



No. 7
# BRh

A relaxed structure of BRh (PBE, the Alexandria database).

Lattice parameters (Å, degrees): 3.1120 3.1120 3.1120 60.00 60.00 60.00
Last column: nearest neighbours and their distance in Å.
Element x y z (fractional)
B (0.0000, 0.0000, 0.0000)  6 Rh 2.20
Rh (0.5000, 0.5000, 0.5000)  6 B 2.20

Computed properties:
Formation energy ... -0.043 eV/atom
Total moment ... 0.00 μB/f.u.
Symmetry ... Fm-3m (225)



No. 8
# LiVIn2Cl5

A relaxed structure of LiVIn2Cl5 (PBE, the Alexandria database).

Lattice parameters (Å, degrees): 9.2056 9.2056 13.8211 90.00 90.00 155.97
Last column: nearest neighbours and their distance in Å.
Element x y z (fractional)
Li (0.0692, 0.9308, 0.5000)  4 Cl 2.33-2.40
Li (0.9308, 0.0692, 0.0000)  4 Cl 2.33-2.40
V (0.2862, 0.7138, 0.0770)  6 Cl 2.48-2.54
V (0.7138, 0.2862, 0.5770)  6 Cl 2.48-2.54
In (0.3721, 0.6279, 0.3583)  4 Cl 3.04-3.28
In (0.4026, 0.5974, 0.7118)  6 Cl 3.11-3.45
In (0.5974, 0.4026, 0.2118)  6 Cl 3.11-3.45
In (0.6279, 0.3721, 0.8583)  4 Cl 3.04-3.28
Cl (0.0029, 0.9971, 0.3552)  1 Li 2.33
Cl (0.1501, 0.8499, 0.0484)  1 V 2.48
Cl (0.1987, 0.8013, 0.4588)  1 Li 2.40, 2 V 2.53
Cl (0.2274, 0.7726, 0.6937)  2 V 2.52
Cl (0.4261, 0.5739, 0.1004)  2 Li 2.37, 1 V 2.54
Cl (0.5739, 0.4261, 0.6004)  2 Li 2.37, 1 V 2.54
Cl (0.7726, 0.2274, 0.1937)  2 V 2.52
Cl (0.8013, 0.1987, 0.9588)  1 Li 2.40, 2 V 2.53
Cl (0.8499, 0.1501, 0.5484)  1 V 2.48
Cl (0.9971, 0.0029, 0.8552)  1 Li 2.33

Computed properties:
Raw formation energy ... -1.128 eV per atom
Total moment ... 3.00 μB/f.u.
Symmetry ... Cmc2_1 (36)



No. 9
# Fe5Si

A relaxed structure of Fe5Si (PBE, the Alexandria database).

Lattice parameters (Å, degrees): 4.6673 4.6673 4.6673 60.00 60.00 60.00
Last column: nearest neighbours and their distance in Å.
Element x y z (fractional)
Fe (0.0000, 0.0000, 0.0000)  12 Fe 2.74, 4 Si 2.86
Fe (0.1253, 0.6249, 0.6249)  6 Fe 2.33-2.34
Fe (0.6249, 0.1253, 0.6249)  6 Fe 2.33-2.34
Fe (0.6249, 0.6249, 0.1253)  6 Fe 2.33-2.34
Fe (0.6249, 0.6249, 0.6249)  6 Fe 2.33-2.34
Si (0.2500, 0.2500, 0.2500)  16 Fe 2.74-2.86

Computed properties:
Raw formation energy ... 0.107 eV per atom
E above lowest polymorph ... 311 meV per atom
Total moment ... 10.81 μB/f.u.
Symmetry ... F-43m (216)



No. 10
# V2ZnRh3

A relaxed structure of V2ZnRh3 (PBE, the Alexandria database).

Lattice parameters (Å, degrees): 2.8269 2.8269 10.3767 90.00 90.00 90.00
Last column: nearest neighbours and their distance in Å.
Element x y z (fractional)
V (0.0000, 0.0000, 0.1724)  8 Rh 2.58-2.68, 4 V 2.83
V (0.0000, 0.0000, 0.8276)  8 Rh 2.58-2.68, 4 V 2.83
Zn (0.0000, 0.0000, 0.5000)  8 Rh 2.67, 4 Zn 2.83
Rh (0.5000, 0.5000, 0.0000)  8 V 2.68, 4 Rh 2.83
Rh (0.5000, 0.5000, 0.3296)  4 V 2.58, 4 Zn 2.67, 4 Rh 2.83
Rh (0.5000, 0.5000, 0.6704)  4 V 2.58, 4 Zn 2.67, 4 Rh 2.83

Computed properties:
Formation energy ... -0.410 eV/atom
Total moment ... 1.07 μB/f.u.
Symmetry ... P4/mmm (123)



No. 11
# NaAcH2

A relaxed structure of NaAcH2 (PBE, the Alexandria database).

Lattice parameters (Å, degrees): 4.6573 4.6573 3.4459 90.00 90.00 90.00
Last column: nearest neighbours and their distance in Å.
Element x y z (fractional)
Na (0.0000, 0.0000, 0.0000)  8 H 2.90
Ac (0.5000, 0.5000, 0.0000)  8 H 2.90
H (0.0000, 0.5000, 0.5000)  4 Ac 2.90, 4 Na 2.90
H (0.5000, 0.0000, 0.5000)  4 Ac 2.90, 4 Na 2.90

Computed properties:
E above lowest polymorph ... 430 meV per atom
Total moment ... 0.00 μB/f.u.
Symmetry ... P4/mmm (123)